[1]
NaUBr6: relaxed, PBE.

Properties
**Energy relative to the elements, uncorrected**: -1319.8 meV per atom

Cell: 7.2398 13.0278 7.1390 Å, 90.00 108.22 90.00°
Space group C2/m (No. 12)
One atom of each set of equivalent atoms:
Na 0.0000 0.0000 0.0000 (multiplicity 2)
U 0.0000 0.5000 0.5000 (multiplicity 2)
Br 0.2217 0.3529 0.7329 (multiplicity 8)
Br 0.2368 0.5000 0.2759 (multiplicity 4)

[2]
BaSr2Cu: relaxed, PBE.

Properties
**E above lowest polymorph**: 0.0423 eV/atom
**DFT formation energy**: 40 meV/atom
**DOS at the Fermi energy**: 8.49 states/eV/cell

Cell: 13.1244 4.1916 7.4113 Å, 90.00 118.73 90.00°
Space group Cm (No. 8)
One atom of each set of equivalent atoms:
Ba 0.0000 0.0000 0.0000 (multiplicity 2)
Sr 0.1419 0.5000 0.6469 (multiplicity 2)
Sr 0.3233 0.5000 0.3259 (multiplicity 2)
Cu 0.2909 0.0000 0.9914 (multiplicity 2)

[3]
TaRuW2: relaxed, PBE.

Properties
**E above lowest polymorph**: 0.0246 eV/atom
**DFT formation energy**: -52 meV/atom
**DOS at the Fermi energy**: 13.10 states/eV/cell

Cell: 6.3602 6.3602 6.3602 Å, 90.00 90.00 90.00°
Space group F-43m (No. 216)
One atom of each set of equivalent atoms:
Ta 0.0000 0.0000 0.0000 (multiplicity 4)
Ru 0.2500 0.2500 0.7500 (multiplicity 4)
W 0.0000 0.0000 0.5000 (multiplicity 4)
W 0.2500 0.2500 0.2500 (multiplicity 4)

The evaluated E_tot for the records listed, in turn: -4.150 -2.306 -11.810 eV/atom.